(1)
A plane-wave DFT calculation with PBE was carried out for a relaxed MgCr2N crystal.

The structure in extended XYZ format:
```
8
Lattice="-3.077 3.077 3.266 3.077 -3.077 3.266 3.077 3.077 -3.266" Properties=species:S:1:pos:R:3 pbc="T T T"
Mg 0.000 0.000 0.000
Mg 0.000 3.077 1.633
Cr 1.538 -0.669 2.450
Cr 2.408 1.538 0.817
Cr 1.538 3.746 -0.817
Cr 0.669 1.538 4.083
N 3.077 0.000 1.633
N 0.000 0.000 3.266
```

**SG**: I-42d, No. 122
**ΔE to the lowest computed polymorph**: 0 meV/atom



(2)
A plane-wave DFT calculation with PBE was carried out for a relaxed MgNb2CrN crystal.

The structure in extended XYZ format:
```
5
Lattice="4.460 0.000 0.000 0.000 4.460 0.000 0.000 0.000 4.848" Properties=species:S:1:pos:R:3 pbc="T T T"
Mg 0.000 0.000 0.000
Nb 0.000 2.230 2.424
Nb 2.230 0.000 2.424
Cr 0.000 0.000 2.424
N 2.230 2.230 0.000
```

**E**: -0.4555 Ry per atom
**SG**: P4/mmm, No. 123



(3)
A plane-wave DFT calculation with PBE was carried out for a relaxed NdMgCrN3 crystal.

The structure in extended XYZ format:
```
12
Lattice="7.111 0.000 0.000 0.000 3.360 0.000 -1.829 0.000 6.985" Properties=species:S:1:pos:R:3 pbc="T T T"
Nd 1.185 0.840 1.451
Nd 4.097 2.520 5.534
Mg 1.062 2.520 5.985
Mg 4.220 0.840 1.000
Cr -0.443 0.840 4.245
Cr 5.725 2.520 2.740
N -0.770 0.840 5.921
N 0.277 2.520 3.670
N 2.763 2.520 1.145
N 2.519 0.840 5.840
N 5.005 0.840 3.315
N 6.052 2.520 1.064
```

**E**: -0.5572 Ry per atom
**SG**: P2_1/m, No. 11



Number 1: Fermi-level density of states 0.29 states/eV/atom. Number 2: Fermi-level density of states 0.58 states/eV/atom. Number 3: Fermi-level density of states 0.39 states/eV/atom.